# 1
## NaCd2Sb (PBE)

Data for an optimized crystal structure of NaCd2Sb.

```
NaCd2Sb
1.0
4.551 0.000 0.000
0.000 4.551 0.000
0.000 0.000 10.814
Na Cd Sb
2 4 2
direct
0.250 0.250 0.247
0.750 0.750 0.753
0.250 0.250 0.961
0.250 0.750 0.500
0.750 0.250 0.500
0.750 0.750 0.039
0.250 0.250 0.677
0.750 0.750 0.323
```

Summary:
- magnetic moment (μB per formula unit) = 0.0

# 2
## LaCuSb2F (PBE)

Data for an optimized crystal structure of LaCuSb2F.

```
LaCuSb2F
1.0
5.087 0.000 0.000
0.000 5.087 0.000
0.000 0.000 4.420
La Cu Sb F
1 1 2 1
direct
0.000 0.000 0.000
0.500 0.500 0.000
0.000 0.500 0.500
0.500 0.000 0.500
0.500 0.500 0.500
```

Summary:
- magnetic moment (μB per formula unit) = 0.0

| no. | E (eV per cell) | E_form (uncorrected) (kJ/mol of atoms) |
| --- | --- | --- |
| 1 | -15.814 | -15 |
| 2 | -22.471 | -64 |